1.
Material: Ti2Nb2Mo
Method: DFT, GGA-PBE
State: optimized geometry

Output
excess energy over the best structure of this formula in the dataset = 156 meV/atom
VASP energy = -0.3327 Ha/atom
energy relative to the elements = 28.8 kJ per mole of atoms
Fermi-level density of states = 1.00 states/eV per atom
density = 7.1 g/cm3

Cell lengths 7.0259, 7.0259, 3.5553 Å; angles 90.00, 90.00, 90.00 degrees
Last column: nearest neighbours and their distance in Å.
Space group P4/mbm (No. 127)
Symmetry-distinct sites (fractional):
Ti: 0.1395 0.3605 0.0000 [4 per cell]  6 Nb 2.63-2.79, 2 Mo 2.72, 1 Ti 2.77
Nb: 0.1652 0.6652 0.5000 [4 per cell]  6 Ti 2.63-2.79
Mo: 0.0000 0.0000 0.0000 [2 per cell]  4 Ti 2.72

***

2.
Material: MgAlI5
Method: DFT, GGA-PBE
State: optimized geometry

Output
VASP energy = -0.0961 Ha/atom
formation energy without anion corrections = -0.74 eV/atom
Fermi-level density of states = 0.00 states/eV per atom
density = 3.7 g/cm3

Cell lengths 11.2677, 11.3865, 10.8060 Å; angles 90.00, 118.40, 90.00 degrees
Last column: nearest neighbours and their distance in Å.
Space group C2/c (No. 15)
Symmetry-distinct sites (fractional):
Mg: 0.0000 0.0000 0.0000 [4 per cell]  6 I 2.85-3.04
Al: 0.0000 0.3794 0.2500 [4 per cell]  4 I 2.57-2.59
I: 0.0000 0.0806 0.7500 [4 per cell]  2 Mg 2.85
I: 0.0122 0.2626 0.4590 [8 per cell]  1 Al 2.57
I: 0.1959 0.4702 0.8431 [8 per cell]  1 Al 2.59

***

3.
Material: SbIrCl
Method: DFT, GGA-PBE
State: optimized geometry

Output
excess energy over the best structure of this formula in the dataset = 214 meV/atom
VASP energy = -0.1751 Ha/atom
formation energy without anion corrections = 0.18 eV/atom
Fermi-level density of states = 1.06 states/eV per atom
density = 8.7 g/cm3

Cell lengths 3.1786, 3.1786, 13.2361 Å; angles 90.00, 90.00, 90.00 degrees
Last column: nearest neighbours and their distance in Å.
Space group I4mm (No. 107)
Symmetry-distinct sites (fractional):
Sb: 0.0000 0.0000 0.0000 [2 per cell]  4 Ir 2.75
Ir: 0.0000 0.0000 0.6194 [2 per cell]  4 Sb 2.75, 4 Cl 2.86
Cl: 0.0000 0.0000 0.2526 [2 per cell]  4 Ir 2.86, 4 Cl 3.18

***

4.
Material: LiTb2NdPd4
Method: DFT, GGA-PBE
State: optimized geometry

Output
VASP energy = -0.1956 Ha/atom
energy relative to the elements = -70.7 kJ per mole of atoms
Fermi-level density of states = 0.53 states/eV per atom
density = 8.9 g/cm3

Cell lengths 4.9095, 4.9095, 24.0447 Å; angles 90.00, 90.00, 120.00 degrees
Last column: nearest neighbours and their distance in Å.
Space group R-3m (No. 166, hexagonal axes)
Symmetry-distinct sites (fractional):
Li: 0.0000 0.0000 0.0000 [3 per cell]  8 Pd 2.85-3.03
Tb: 0.0000 0.0000 0.2596 [6 per cell]  7 Pd 2.85-3.03
Nd: 0.0000 0.0000 0.5000 [3 per cell]  8 Pd 2.93-3.06
Pd: 0.0000 0.0000 0.1184 [6 per cell]  1 Li 2.85, 3 Tb 3.03, 3 Nd 3.06
Pd: 0.0000 0.0000 0.3780 [6 per cell]  4 Tb 2.85-2.92, 1 Nd 2.93, 3 Li 3.03

***

5.
Material: TeMoRh
Method: DFT, GGA-PBE
State: optimized geometry

Output
excess energy over the best structure of this formula in the dataset = 17 meV/atom
VASP energy = -0.2534 Ha/atom
formation energy without anion corrections = 0.21 eV/atom
Fermi-level density of states = 1.02 states/eV per atom
density = 10.3 g/cm3

Cell lengths 3.1585, 3.1585, 10.5910 Å; angles 90.00, 90.00, 90.00 degrees
Last column: nearest neighbours and their distance in Å.
Space group I4mm (No. 107)
Symmetry-distinct sites (fractional):
Te: 0.0000 0.0000 0.0000 [2 per cell]  4 Mo 2.84, 4 Rh 2.96, 4 Te 3.16
Mo: 0.0000 0.0000 0.6659 [2 per cell]  4 Rh 2.74, 4 Te 2.84
Rh: 0.0000 0.0000 0.3165 [2 per cell]  4 Mo 2.74, 4 Te 2.96

***

6.
Material: SbH2Rh
Method: DFT, GGA-PBE
State: optimized geometry

Output
excess energy over the best structure of this formula in the dataset = 0 meV/atom
VASP energy = -0.1608 Ha/atom
Fermi-level density of states = 0.14 states/eV per atom
density = 7.6 g/cm3

Cell lengths 4.5130, 4.5130, 9.7120 Å; angles 90.00, 90.00, 90.00 degrees
Last column: nearest neighbours and their distance in Å.
Space group I-42d (No. 122)
Symmetry-distinct sites (fractional):
Sb: 0.0000 0.0000 0.0000 [4 per cell]  4 H 2.54
H: 0.0746 0.2500 0.6250 [8 per cell]  2 Rh 1.69
Rh: 0.0000 0.0000 0.5000 [4 per cell]  4 H 1.69

***

7.
Material: PmDyCdGe
Method: DFT, GGA-PBE
State: optimized geometry

Output
VASP energy = -0.1543 Ha/atom
energy relative to the elements = -46.1 kJ per mole of atoms
Fermi-level density of states = 0.81 states/eV per atom
density = 8.2 g/cm3

Cell lengths 7.3637, 7.3637, 7.3637 Å; angles 90.00, 90.00, 90.00 degrees
Last column: nearest neighbours and their distance in Å.
Space group F-43m (No. 216)
Symmetry-distinct sites (fractional):
Pm: 0.0000 0.0000 0.0000 [4 per cell]  4 Ge 3.19, 4 Cd 3.19
Dy: 0.0000 0.0000 0.5000 [4 per cell]  4 Cd 3.19, 4 Ge 3.19
Cd: 0.2500 0.2500 0.2500 [4 per cell]  4 Dy 3.19, 4 Pm 3.19
Ge: 0.2500 0.2500 0.7500 [4 per cell]  4 Dy 3.19, 4 Pm 3.19

***

8.
Material: VSiTc
Method: DFT, GGA-PBE
State: optimized geometry

Output
excess energy over the best structure of this formula in the dataset = 22 meV/atom
VASP energy = -0.3234 Ha/atom
formation energy without anion corrections = -0.50 eV/atom
Fermi-level density of states = 0.72 states/eV per atom
density = 7.2 g/cm3

Cell lengths 3.0633, 4.0453, 6.5837 Å; angles 90.00, 90.00, 90.00 degrees
Last column: nearest neighbours and their distance in Å.
Space group Pmm2 (No. 25)
Symmetry-distinct sites (fractional):
V: 0.0000 0.0000 0.0000 [1 per cell]  4 Si 2.50-2.72, 6 Tc 2.54-2.66
V: 0.0000 0.5000 0.3587 [1 per cell]  5 Si 2.40-2.57
Si: 0.0000 0.5000 0.7229 [1 per cell]  1 V 2.40, 6 Tc 2.49-2.56
Si: 0.5000 0.0000 0.2998 [1 per cell]  3 Tc 2.44-2.73, 6 V 2.50-2.57
Tc: 0.5000 0.0000 0.6705 [1 per cell]  5 Si 2.44-2.56, 2 V 2.66
Tc: 0.5000 0.5000 0.0220 [1 per cell]  4 Si 2.49-2.73, 6 V 2.54-2.69

***

9.
Material: NdErSc
Method: DFT, GGA-PBE
State: optimized geometry

Output
excess energy over the best structure of this formula in the dataset = 54 meV/atom
VASP energy = -0.1879 Ha/atom
energy relative to the elements = 10.4 kJ per mole of atoms
Fermi-level density of states = 1.68 states/eV per atom
density = 6.6 g/cm3

Cell lengths 3.4276, 5.0827, 10.4445 Å; angles 90.00, 99.37, 90.00 degrees
Last column: nearest neighbours and their distance in Å.
Space group P2_1/m (No. 11)
Symmetry-distinct sites (fractional):
Nd: 0.0516 0.2500 0.0987 [2 per cell]  4 Nd 3.26-3.43, 1 Sc 3.31, 4 Er 3.50
Er: 0.3673 0.2500 0.7369 [2 per cell]  5 Sc 3.27-3.47, 2 Er 3.43, 4 Nd 3.50
Sc: 0.2103 0.2500 0.4200 [2 per cell]  5 Er 3.27-3.47, 1 Nd 3.31, 6 Sc 3.43-3.48

***

10.
Material: Na2TlIBr4
Method: DFT, GGA-PBE
State: optimized geometry

Output
VASP energy = -0.0958 Ha/atom
formation energy without anion corrections = -0.95 eV/atom
Fermi-level density of states = 0.00 states/eV per atom
density = 4.0 g/cm3

Cell lengths 11.9270, 13.9136, 9.0425 Å; angles 90.00, 129.63, 90.00 degrees
Last column: nearest neighbours and their distance in Å.
Space group C2/c (No. 15)
Symmetry-distinct sites (fractional):
Na: 0.0000 0.0000 0.0000 [4 per cell]  4 Br 2.84-3.17
Na: 0.2500 0.2500 0.0000 [4 per cell]  4 Br 2.86-2.99
Tl: 0.0000 0.5000 0.0000 [4 per cell]  4 Br 3.26-3.40
I: 0.2500 0.2500 0.5000 [4 per cell]  2 Br 2.74
Br: 0.0625 0.2236 0.5746 [8 per cell]  1 I 2.74, 1 Na 2.99
Br: 0.2426 0.0451 0.0217 [8 per cell]  2 Na 2.84-2.86

***

11.
Material: CsBRh2
Method: DFT, GGA-PBE
State: optimized geometry

Output
VASP energy = -0.1896 Ha/atom
energy relative to the elements = 38.6 kJ per mole of atoms
Fermi-level density of states = 0.50 states/eV per atom
density = 6.4 g/cm3

Cell lengths 6.3292, 6.3292, 9.0435 Å; angles 90.00, 90.00, 90.00 degrees
Last column: nearest neighbours and their distance in Å.
Space group I-42d (No. 122)
Symmetry-distinct sites (fractional):
Cs: 0.0000 0.0000 0.0000 [4 per cell]  8 Rh 3.41-3.76
B: 0.0000 0.0000 0.5000 [4 per cell]  4 Rh 1.98
Rh: 0.0567 0.2500 0.6250 [8 per cell]  2 B 1.98

***

12.
Material: Na2Ga2CuAu5
Method: DFT, GGA-PBE
State: optimized geometry

Output
VASP energy = -0.1168 Ha/atom
energy relative to the elements = -25.2 kJ per mole of atoms
Fermi-level density of states = 0.19 states/eV per atom
density = 10.8 g/cm3

Cell lengths 11.1453, 11.1453, 3.0666 Å; angles 90.00, 90.00, 90.00 degrees
Last column: nearest neighbours and their distance in Å.
Space group P4/mbm (No. 127)
Symmetry-distinct sites (fractional):
Na: 0.1710 0.3290 0.0000 [4 per cell]  1 Ga 3.02, 2 Na 3.07, 6 Au 3.10-3.31
Ga: 0.1375 0.6375 0.0000 [4 per cell]  6 Au 2.64-2.65
Cu: 0.0000 0.0000 0.0000 [2 per cell]  8 Au 2.66
Au: 0.0000 0.5000 0.5000 [2 per cell]  4 Ga 2.65
Au: 0.0658 0.8165 0.5000 [8 per cell]  2 Ga 2.64, 2 Cu 2.66